14
Lattice="4.069 -3.935 0.000 4.069 3.935 0.000 -3.843 0.000 7.227" Properties=species:S:1:pos:R:3 comment="TbBeF5 | Alexandria via LeMat-Bulk | GGA-PBE | relaxed" sg=C2/c n_ef_per_ev_fu=0.0 total_energy_ev_per_atom=-6.282 pbc="T T T"
Tb 2.034 1.968 0.000
Tb 0.113 -1.968 3.613
Be 1.186 2.933 5.420
Be 3.108 -2.933 1.807
F -0.269 0.080 2.878
F 0.101 2.062 6.121
F -2.191 -0.080 6.491
F 2.272 2.062 4.719
F 3.108 1.313 1.807
F 1.186 -1.313 5.420
F 2.022 -2.062 2.508
F 6.485 0.080 0.736
F 4.193 -2.062 1.106
F 4.563 -0.080 4.349